DFT (PBE+U) results for a relaxed structure of KFeI2O.

Geometry as POSCAR:
```
KFeI2O
1.0
-6.0285 1.4556 0.8217
-1.5863 -4.0129 -4.5295
-0.3624 -3.1462 2.9143
K Fe O I
1 1 1 2
Direct
0.0000 0.0000 0.0000
0.5000 0.5000 0.5000
0.0000 0.0000 0.5000
0.0000 0.5000 0.0000
0.5000 0.0000 0.0000
```

Results
Total moment (Bohr magnetons per cell): 4.0
Energy above the most stable polymorph in this dataset (meV/atom): 1300
Space group: P4/mmm, No. 123
Total energy (eV per cell): -10.7